[1]
Computed, not measured: a relaxed structure of Nb3MoO8 at the PBE+U level of DFT.

Values from the calculation:
**Total magnetic moment**: 2.8 μB/f.u.
**E_tot**: -8.672 eV/atom
**V**: 171.32 Å³/cell

Lattice parameters (Å, degrees): 6.639 6.639 6.885 106.12 106.12 36.18
Fractional coordinates of all 12 atoms:
Nb (0.000, 0.000, 0.000)
Nb (0.107, 0.107, 0.584)
Nb (0.792, 0.792, 0.572)
Mo (0.691, 0.691, 0.983)
O (0.044, 0.044, 0.301)
O (0.156, 0.156, 0.934)
O (0.278, 0.278, 0.614)
O (0.525, 0.525, 0.001)
O (0.630, 0.630, 0.637)
O (0.756, 0.756, 0.296)
O (0.844, 0.844, 0.922)
O (0.959, 0.959, 0.657)

***

[2]
Computed, not measured: a relaxed structure of Nb3MoO at the PBE+U level of DFT.

Values from the calculation:
**Total magnetic moment**: 2.2 μB/f.u.
**E_tot**: -8.756 eV/atom
**V**: 80.29 Å³/cell
**Energy above the most stable polymorph in this dataset**: 0 meV per atom

Lattice parameters (Å, degrees): 4.314 4.314 4.314 90.00 90.00 90.00
Fractional coordinates of all 5 atoms:
Nb (0.000, 0.000, 0.500)
Nb (0.000, 0.500, 0.000)
Nb (0.500, 0.000, 0.000)
Mo (0.500, 0.500, 0.500)
O (0.000, 0.000, 0.000)

***

[3]
Computed, not measured: a relaxed structure of Nb2MoO at the PBE+U level of DFT.

Values from the calculation:
**Total magnetic moment**: 1.7 μB/f.u.
**E_tot**: -8.057 eV/atom
**V**: 131.45 Å³/cell

Lattice parameters (Å, degrees): 5.548 5.548 5.548 109.22 109.22 109.97
Fractional coordinates of all 8 atoms:
Nb (0.036, 0.625, 0.911)
Nb (0.375, 0.286, 0.411)
Nb (0.714, 0.125, 0.089)
Nb (0.875, 0.964, 0.589)
Mo (0.250, 0.750, 0.500)
Mo (0.500, 0.500, 0.000)
O (0.000, 0.000, 0.000)
O (0.750, 0.250, 0.500)